# 1
# Cr4CuOs PBE-GGA optimized geometry
data_Cr4CuOs
_space_group_name_H-M_alt 'F -4 3 m'
_space_group_IT_number 216
_space_group_name_Hall 'F -4 2 3'
_cell_length_a 6.6523
_cell_length_b 6.6523
_cell_length_c 6.6523
_cell_angle_alpha 90.00
_cell_angle_beta 90.00
_cell_angle_gamma 90.00
loop_
_atom_site_label
_atom_site_type_symbol
_atom_site_fract_x
_atom_site_fract_y
_atom_site_fract_z
Cr1 Cr 0.1228 0.1228 0.3772
Cu1 Cu 0.2500 0.2500 0.7500
Os1 Os 0.0000 0.0000 0.0000
# DFT formation energy: 98 kJ/mol of formula units



# 2
# Ba3MnC PBE-GGA optimized geometry
data_Ba3MnC
_space_group_name_H-M_alt 'P m -3 m'
_space_group_IT_number 221
_space_group_name_Hall '-P 4 2 3'
_cell_length_a 5.6604
_cell_length_b 5.6604
_cell_length_c 5.6604
_cell_angle_alpha 90.00
_cell_angle_beta 90.00
_cell_angle_gamma 90.00
loop_
_atom_site_label
_atom_site_type_symbol
_atom_site_fract_x
_atom_site_fract_y
_atom_site_fract_z
Ba1 Ba 0.0000 0.0000 0.5000
Mn1 Mn 0.5000 0.5000 0.5000
C1 C 0.0000 0.0000 0.0000
# DFT formation energy: 587 kJ/mol of formula units



# 3
# YPuInGa PBE-GGA optimized geometry
data_YPuInGa
_space_group_name_H-M_alt 'F -4 3 m'
_space_group_IT_number 216
_space_group_name_Hall 'F -4 2 3'
_cell_length_a 7.3912
_cell_length_b 7.3912
_cell_length_c 7.3912
_cell_angle_alpha 90.00
_cell_angle_beta 90.00
_cell_angle_gamma 90.00
loop_
_atom_site_label
_atom_site_type_symbol
_atom_site_fract_x
_atom_site_fract_y
_atom_site_fract_z
Y1 Y 0.0000 0.0000 0.0000
Pu1 Pu 0.0000 0.0000 0.5000
In1 In 0.2500 0.2500 0.2500
Ga1 Ga 0.2500 0.2500 0.7500
# DFT formation energy: -124 kJ/mol of formula units



# 4
# NdErBe2Pd5 PBE-GGA optimized geometry
data_NdErBe2Pd5
_space_group_name_H-M_alt 'P 4/m m m'
_space_group_IT_number 123
_space_group_name_Hall '-P 4 2'
_cell_length_a 4.0761
_cell_length_b 4.0761
_cell_length_c 9.0472
_cell_angle_alpha 90.00
_cell_angle_beta 90.00
_cell_angle_gamma 90.00
loop_
_atom_site_label
_atom_site_type_symbol
_atom_site_fract_x
_atom_site_fract_y
_atom_site_fract_z
Nd1 Nd 0.0000 0.0000 0.0000
Er1 Er 0.0000 0.0000 0.5000
Be1 Be 0.5000 0.5000 0.3699
Pd1 Pd 0.0000 0.5000 0.2500
Pd2 Pd 0.5000 0.5000 0.0000
# DFT formation energy: -602 kJ/mol of formula units



# 5
# Ac3Pm2PrSe6 PBE-GGA optimized geometry
data_Ac3Pm2PrSe6
_space_group_name_H-M_alt 'C 1 2/m 1'
_space_group_IT_number 12
_space_group_name_Hall '-C 2y'
_cell_length_a 7.4899
_cell_length_b 13.0136
_cell_length_c 7.5509
_cell_angle_alpha 90.00
_cell_angle_beta 109.41
_cell_angle_gamma 90.00
loop_
_atom_site_label
_atom_site_type_symbol
_atom_site_fract_x
_atom_site_fract_y
_atom_site_fract_z
Ac1 Ac 0.0000 0.0000 0.0000
Ac2 Ac 0.0000 0.3350 0.0000
Pm1 Pm 0.0000 0.1667 0.5000
Pr1 Pr 0.0000 0.5000 0.5000
Se1 Se 0.2405 0.0000 0.7330
Se2 Se 0.2467 0.3315 0.7348
# raw formation energy: -1.85 eV per atom



# 6
# La2UNbN6 PBE-GGA optimized geometry
data_La2UNbN6
_space_group_name_H-M_alt 'P 1 21/c 1'
_space_group_IT_number 14
_space_group_name_Hall '-P 2ybc'
_cell_length_a 5.9049
_cell_length_b 5.8685
_cell_length_c 10.1767
_cell_angle_alpha 90.00
_cell_angle_beta 125.29
_cell_angle_gamma 90.00
loop_
_atom_site_label
_atom_site_type_symbol
_atom_site_fract_x
_atom_site_fract_y
_atom_site_fract_z
La1 La 0.2409 0.0267 0.2495
U1 U 0.5000 0.0000 0.0000
Nb1 Nb 0.0000 0.0000 0.5000
N1 N 0.1721 0.2205 0.9532
N2 N 0.2245 0.7192 0.9510
N3 N 0.3350 0.0162 0.7471
# raw formation energy: -1.19 eV per atom